<1>
A plane-wave DFT calculation with PBE-GGA was carried out for crystalline ScPd3Pt at its relaxed geometry.

abc: 7.5552 7.5552 5.6572
angles: 101.11 101.11 30.75
Last column: nearest neighbours and their distance in Å.
Atoms (fractional coordinates):
Sc  0.1117  0.1117  0.0555  8 Pd 2.74-2.93, 3 Pt 2.75
Sc  0.8883  0.8883  0.9445  8 Pd 2.74-2.93, 3 Pt 2.75
Pd  0.0999  0.0999  0.5505  2 Pt 2.79, 2 Sc 2.83-2.84, 8 Pd 2.83-2.88
Pd  0.3013  0.3013  0.6517  2 Sc 2.74, 4 Pt 2.81-2.87, 6 Pd 2.82-2.88
Pd  0.4992  0.4992  0.7496  1 Pt 2.81, 7 Pd 2.82-2.85, 4 Sc 2.92-2.93
Pd  0.5008  0.5008  0.2504  1 Pt 2.81, 7 Pd 2.82-2.85, 4 Sc 2.92-2.93
Pd  0.6987  0.6987  0.3483  2 Sc 2.74, 4 Pt 2.81-2.87, 6 Pd 2.82-2.88
Pd  0.9001  0.9001  0.4495  2 Pt 2.79, 2 Sc 2.83-2.84, 8 Pd 2.83-2.88
Pt  0.3042  0.3042  0.1566  3 Sc 2.75, 7 Pd 2.79-2.87, 2 Pt 2.92
Pt  0.6958  0.6958  0.8434  3 Sc 2.75, 7 Pd 2.79-2.87, 2 Pt 2.92

Values from the calculation:
Total magnetization   0.0 μB/f.u.
DOS(E_F)   7.34 states/eV per cell
Crystal system   monoclinic

<2>
A plane-wave DFT calculation with PBE-GGA was carried out for crystalline ScPd3Pt at its relaxed geometry.

abc: 4.3054 5.5889 7.1410
angles: 90.00 107.50 90.00
Last column: nearest neighbours and their distance in Å.
Atoms (fractional coordinates):
Sc  0.1987  0.2500  0.3963  5 Pd 2.60-2.85, 4 Pt 2.64-2.80
Sc  0.8013  0.7500  0.6037  5 Pd 2.60-2.85, 4 Pt 2.64-2.80
Pd  0.0071  0.2500  0.0148  1 Sc 2.60, 1 Pt 2.68, 6 Pd 2.80-2.89
Pd  0.3942  0.5026  0.7888  7 Pd 2.77-3.00, 2 Pt 2.82, 3 Sc 2.85-3.02
Pd  0.3942  0.9974  0.7888  7 Pd 2.77-3.00, 2 Pt 2.82, 3 Sc 2.85-3.02
Pd  0.6058  0.0026  0.2112  7 Pd 2.77-3.00, 2 Pt 2.82, 3 Sc 2.85-3.02
Pd  0.6058  0.4974  0.2112  7 Pd 2.77-3.00, 2 Pt 2.82, 3 Sc 2.85-3.02
Pd  0.9929  0.7500  0.9852  1 Sc 2.60, 1 Pt 2.68, 6 Pd 2.80-2.89
Pt  0.1895  0.7500  0.3793  4 Sc 2.64-2.80, 5 Pd 2.68-2.82
Pt  0.8105  0.2500  0.6207  4 Sc 2.64-2.80, 5 Pd 2.68-2.82

Values from the calculation:
Total magnetization   0.0 μB/f.u.
DOS(E_F)   6.68 states/eV per cell
Crystal system   monoclinic

The structure with the greatest stability is <1>.

<1>
A plane-wave DFT calculation with PBE-GGA was carried out for crystalline Sc3PdPt at its relaxed geometry.

abc: 4.1309 6.4990 7.8861
angles: 90.00 90.00 90.00
Last column: nearest neighbours and their distance in Å.
Atoms (fractional coordinates):
Sc  0.2500  0.0070  0.1722  3 Pt 2.70-2.72, 2 Pd 2.86
Sc  0.2500  0.2500  0.5448  2 Pd 2.70, 1 Pt 2.74
Sc  0.2500  0.4930  0.1722  3 Pt 2.70-2.72, 2 Pd 2.86
Sc  0.7500  0.5070  0.8278  3 Pt 2.70-2.72, 2 Pd 2.86
Sc  0.7500  0.7500  0.4552  2 Pd 2.70, 1 Pt 2.74
Sc  0.7500  0.9930  0.8278  3 Pt 2.70-2.72, 2 Pd 2.86
Pd  0.2500  0.7500  0.6755  6 Sc 2.70-2.86
Pd  0.7500  0.2500  0.3245  6 Sc 2.70-2.86
Pt  0.2500  0.2500  0.8920  7 Sc 2.70-2.74
Pt  0.7500  0.7500  0.1080  7 Sc 2.70-2.74

Values from the calculation:
Total magnetization   0.0 μB/f.u.
DOS(E_F)   7.78 states/eV per cell
Crystal system   orthorhombic

<2>
A plane-wave DFT calculation with PBE-GGA was carried out for crystalline Sc3PdPt at its relaxed geometry.

abc: 5.0153 5.0153 5.0153
angles: 90.00 90.00 90.00
Last column: nearest neighbours and their distance in Å.
Atoms (fractional coordinates):
Sc  0.0000  0.0000  0.5000  2 Pt 2.51
Sc  0.0000  0.5000  0.0000  2 Pt 2.51
Sc  0.5000  0.0000  0.0000  2 Pt 2.51
Pd  0.5000  0.5000  0.5000  12 Sc 3.55
Pt  0.0000  0.0000  0.0000  6 Sc 2.51

Values from the calculation:
Total magnetization   0.0 μB/f.u.
DOS(E_F)   3.82 states/eV per cell
Crystal system   cubic

The structure with the greatest stability is <1>.

<1>
A plane-wave DFT calculation with PBE-GGA was carried out for crystalline ScPdPt at its relaxed geometry.

abc: 4.5576 4.5576 5.5696
angles: 90.00 90.00 120.00
Last column: nearest neighbours and their distance in Å.
Atoms (fractional coordinates):
Sc  0.3333  0.6667  0.2500  5 Pd 2.63-2.78
Sc  0.6667  0.3333  0.7500  5 Pd 2.63-2.78
Pd  0.3333  0.6667  0.7500  5 Sc 2.63-2.78
Pd  0.6667  0.3333  0.2500  5 Sc 2.63-2.78
Pt  0.0000  0.0000  0.0000  2 Pt 2.78, 6 Sc 2.98, 6 Pd 2.98
Pt  0.0000  0.0000  0.5000  2 Pt 2.78, 6 Sc 2.98, 6 Pd 2.98

Values from the calculation:
Total magnetization   0.0 μB/f.u.
DOS(E_F)   2.23 states/eV per cell
Crystal system   hexagonal

<2>
A plane-wave DFT calculation with PBE-GGA was carried out for crystalline ScPdPt at its relaxed geometry.

abc: 4.4806 4.4806 2.9034
angles: 90.00 90.00 120.00
Last column: nearest neighbours and their distance in Å.
Atoms (fractional coordinates):
Sc  0.0000  0.0000  0.0000  3 Pd 2.68, 3 Pt 2.78, 2 Sc 2.90
Pd  0.6667  0.3333  0.7600  3 Sc 2.68, 3 Pt 2.85, 2 Pd 2.90
Pt  0.3333  0.6667  0.3498  3 Sc 2.78, 6 Pd 2.85-3.10, 2 Pt 2.90

Values from the calculation:
Total magnetization   0.0 μB/f.u.
DOS(E_F)   1.63 states/eV per cell
Crystal system   trigonal

<3>
A plane-wave DFT calculation with PBE-GGA was carried out for crystalline ScPdPt at its relaxed geometry.

abc: 5.4978 4.4555 8.4742
angles: 90.00 90.00 90.00
Last column: nearest neighbours and their distance in Å.
Atoms (fractional coordinates):
Sc  0.2396  0.2500  0.0581  5 Pt 2.68-2.82, 2 Pd 2.95-2.96
Sc  0.2604  0.7500  0.5581  5 Pt 2.68-2.82, 2 Pd 2.95-2.96
Sc  0.7396  0.2500  0.4419  5 Pt 2.68-2.82, 2 Pd 2.95-2.96
Sc  0.7604  0.7500  0.9419  5 Pt 2.68-2.82, 2 Pd 2.95-2.96
Pd  0.0150  0.2500  0.7418  2 Pd 2.75, 4 Pt 2.81-2.83, 4 Sc 2.95-3.03
Pd  0.4850  0.7500  0.2418  2 Pd 2.75, 4 Pt 2.81-2.83, 4 Sc 2.95-3.03
Pd  0.5150  0.2500  0.7582  2 Pd 2.75, 4 Pt 2.81-2.83, 4 Sc 2.95-3.03
Pd  0.9850  0.7500  0.2582  2 Pd 2.75, 4 Pt 2.81-2.83, 4 Sc 2.95-3.03
Pt  0.2418  0.2500  0.3739  5 Sc 2.68-2.82, 4 Pd 2.81-2.83
Pt  0.2582  0.7500  0.8739  5 Sc 2.68-2.82, 4 Pd 2.81-2.83
Pt  0.7418  0.2500  0.1261  5 Sc 2.68-2.82, 4 Pd 2.81-2.83
Pt  0.7582  0.7500  0.6261  5 Sc 2.68-2.82, 4 Pd 2.81-2.83

Values from the calculation:
Total magnetization   0.0 μB/f.u.
DOS(E_F)   5.39 states/eV per cell
Crystal system   orthorhombic

The structure with the greatest stability is <1>.

<1>
A plane-wave DFT calculation with PBE-GGA was carried out for crystalline ScPdPt3 at its relaxed geometry.

abc: 4.7374 4.7374 4.7374
angles: 90.00 90.00 90.00
Last column: nearest neighbours and their distance in Å.
Atoms (fractional coordinates):
Sc  0.0000  0.0000  0.0000  6 Pt 2.37
Pd  0.5000  0.5000  0.5000  12 Pt 3.35
Pt  0.0000  0.0000  0.5000  2 Sc 2.37
Pt  0.0000  0.5000  0.0000  2 Sc 2.37
Pt  0.5000  0.0000  0.0000  2 Sc 2.37

Values from the calculation:
Total magnetization   0.0 μB/f.u.
DOS(E_F)   3.28 states/eV per cell
Crystal system   cubic

<2>
A plane-wave DFT calculation with PBE-GGA was carried out for crystalline ScPdPt3 at its relaxed geometry.

abc: 4.8150 4.8150 4.8150
angles: 90.00 90.00 90.00
Last column: nearest neighbours and their distance in Å.
Atoms (fractional coordinates):
Sc  0.0000  0.0000  0.0000  12 Pt 3.40
Pd  0.5000  0.5000  0.5000  6 Pt 2.41
Pt  0.0000  0.5000  0.5000  2 Pd 2.41
Pt  0.5000  0.0000  0.5000  2 Pd 2.41
Pt  0.5000  0.5000  0.0000  2 Pd 2.41

Values from the calculation:
Total magnetization   0.0 μB/f.u.
DOS(E_F)   6.68 states/eV per cell
Crystal system   cubic

The structure with the greatest stability is <2>.

<1>
A plane-wave DFT calculation with PBE-GGA was carried out for crystalline ScPdPt3 at its relaxed geometry.

abc: 8.8498 8.8498 6.5920
angles: 95.94 95.94 18.98
Last column: nearest neighbours and their distance in Å.
Atoms (fractional coordinates):
Sc  0.1770  0.1770  0.2859  6 Pt 2.71-2.96, 2 Pd 2.83, 2 Sc 2.92
Sc  0.8230  0.8230  0.7141  6 Pt 2.71-2.96, 2 Pd 2.83, 2 Sc 2.92
Pd  0.4199  0.4199  0.0054  7 Pt 2.79-2.89, 3 Pd 2.80-2.92, 2 Sc 2.83
Pd  0.5801  0.5801  0.9946  7 Pt 2.79-2.89, 3 Pd 2.80-2.92, 2 Sc 2.83
Pt  0.0187  0.0187  0.2997  1 Sc 2.77, 7 Pt 2.78-2.96, 4 Pd 2.79-2.86
Pt  0.2066  0.2066  0.8520  6 Pt 2.70-2.92, 3 Sc 2.73-2.96, 2 Pd 2.89
Pt  0.3836  0.3836  0.4235  8 Pt 2.70-2.96, 2 Sc 2.71, 1 Pd 2.89
Pt  0.6164  0.6164  0.5765  8 Pt 2.70-2.96, 2 Sc 2.71, 1 Pd 2.89
Pt  0.7934  0.7934  0.1480  6 Pt 2.70-2.92, 3 Sc 2.73-2.96, 2 Pd 2.89
Pt  0.9813  0.9813  0.7003  1 Sc 2.77, 7 Pt 2.78-2.96, 4 Pd 2.79-2.86

Values from the calculation:
Total magnetization   0.0 μB/f.u.
DOS(E_F)   5.31 states/eV per cell
Crystal system   monoclinic

<2>
A plane-wave DFT calculation with PBE-GGA was carried out for crystalline ScPdPt3 at its relaxed geometry.

abc: 9.5962 9.5962 4.9522
angles: 90.00 90.00 148.78
Last column: nearest neighbours and their distance in Å.
Atoms (fractional coordinates):
Sc  0.1378  0.8622  0.7500  1 Pd 2.41
Sc  0.8622  0.1378  0.2500  1 Pd 2.41
Pd  0.2682  0.7318  0.7500  1 Sc 2.41, 2 Pt 2.65
Pd  0.7318  0.2682  0.2500  1 Sc 2.41, 2 Pt 2.65
Pt  0.0000  0.0000  0.0000  6 Pt 2.48-2.66
Pt  0.0000  0.0000  0.5000  6 Pt 2.48-2.66
Pt  0.1514  0.3621  0.7500  4 Pt 2.51-2.66, 1 Pd 2.65
Pt  0.3621  0.1514  0.2500  4 Pt 2.51-2.66, 1 Pd 2.65
Pt  0.6379  0.8486  0.7500  4 Pt 2.51-2.66, 1 Pd 2.65
Pt  0.8486  0.6379  0.2500  4 Pt 2.51-2.66, 1 Pd 2.65

Values from the calculation:
Total magnetization   0.0 μB/f.u.
DOS(E_F)   5.29 states/eV per cell
Crystal system   orthorhombic

The structure with the greatest stability is <1>.